# Ta2BeFe

Ta2BeFe after structural relaxation (GGA-PBEsol, the Alexandria database).

Cell and atoms, written as POSCAR:
```
Ta2BeFe
1.0
-1.993 2.004 3.420
1.993 -2.004 3.420
1.993 2.004 -3.420
Ta Be Fe
2 1 1
direct
0.250 0.250 0.000
0.750 0.750 0.000
0.500 0.000 0.500
0.000 0.500 0.500
```

## Properties
Total moment (μB/f.u.): 1.29
Space-group type: Immm
DOS(E_F) (states/eV per cell): 3.27
Energy of formation from the pure elements (kJ/mol of formula units): 16